Entry 1:
A plane-wave DFT calculation with PBEsol was carried out for a geometry-optimized RbScCl3 structure.

Geometry as POSCAR:
```
RbScCl3
1.0
7.192 0.000 0.000
-3.596 6.228 0.000
0.000 0.000 5.829
Rb Sc Cl
2 2 6
direct
0.333 0.667 0.250
0.667 0.333 0.750
0.000 0.000 0.000
0.000 0.000 0.500
0.168 0.337 0.750
0.168 0.832 0.750
0.337 0.168 0.250
0.663 0.832 0.750
0.832 0.168 0.250
0.832 0.663 0.250
```

## Properties
The energy comes out at -46.9 eV/cell. The space group is P6_3/mmc, No. 194.

Entry 2:
A plane-wave DFT calculation with PBEsol was carried out for a geometry-optimized KMg2Be structure.

Geometry as POSCAR:
```
KMg2Be
1.0
-3.033 3.033 7.667
3.033 -3.033 7.667
3.033 3.033 -7.667
K Mg Be
2 4 2
direct
0.375 0.625 0.750
0.625 0.375 0.250
0.000 0.000 0.000
0.000 0.000 0.500
0.000 0.500 0.000
0.500 0.000 0.500
0.125 0.875 0.250
0.875 0.125 0.750
```

## Properties
The formation energy from the elements is 0.632 eV/atom. The space group is I4_1/amd, No. 141.

Entry 3:
A plane-wave DFT calculation with PBEsol was carried out for a geometry-optimized MnIrPb2 structure.

Geometry as POSCAR:
```
MnIrPb2
1.0
3.212 0.000 0.000
0.000 3.212 0.000
0.000 0.000 8.130
Mn Ir Pb
1 1 2
direct
0.000 0.000 0.000
0.500 0.500 0.847
0.000 0.000 0.612
0.500 0.500 0.233
```

## Properties
The formation energy from the elements is 0.247 eV/atom. The space group is P4mm, No. 99.

Entry 4:
A plane-wave DFT calculation with PBEsol was carried out for a geometry-optimized Be2WSe structure.

Geometry as POSCAR:
```
Be2WSe
1.0
2.676 0.000 0.000
0.000 4.190 0.000
-0.704 0.000 4.663
Be W Se
2 1 1
direct
0.000 0.000 0.000
0.054 0.500 0.249
0.635 0.000 0.444
0.858 0.500 0.744
```

## Properties
The energy comes out at -24.2 eV/cell. The space group is Pm, No. 6.

Entry 5:
A plane-wave DFT calculation with PBEsol was carried out for a geometry-optimized Cs2MnV2Br2O6 structure.

Geometry as POSCAR:
```
Cs2MnV2Br2O6
1.0
2.818 -8.741 0.000
2.818 8.741 0.000
0.000 0.000 5.747
Cs Mn V Br O
2 1 2 2 6
direct
0.133 0.867 0.000
0.867 0.133 0.000
0.500 0.500 0.515
0.301 0.699 0.510
0.699 0.301 0.510
0.000 0.000 0.522
0.500 0.500 0.078
0.000 0.500 0.623
0.298 0.702 0.227
0.392 0.608 0.605
0.500 0.000 0.623
0.608 0.392 0.605
0.702 0.298 0.227
```

## Properties
The energy comes out at -92.3 eV/cell. The space group is Cmm2, No. 35.

Entry 6:
A plane-wave DFT calculation with PBEsol was carried out for a geometry-optimized Mo2OsPt structure.

Geometry as POSCAR:
```
Mo2OsPt
1.0
-1.945 1.945 3.879
1.945 -1.945 3.879
1.945 1.945 -3.879
Mo Os Pt
2 1 1
direct
0.250 0.750 0.500
0.750 0.250 0.500
0.000 0.000 0.000
0.500 0.500 0.000
```

## Properties
Its offset from the most stable computed form is 0.000 eV per atom. The formation energy from the elements is -0.182 eV/atom. The space group is I4/mmm, No. 139.

Entry 7:
A plane-wave DFT calculation with PBEsol was carried out for a geometry-optimized MnCdIn structure.

Geometry as POSCAR:
```
MnCdIn
1.0
4.607 0.000 0.000
-2.303 3.990 0.000
0.000 0.000 3.038
Mn Cd In
1 1 1
direct
0.000 0.000 0.000
0.667 0.333 0.361
0.333 0.667 0.652
```

## Properties
The formation energy from the elements is 0.346 eV/atom. The space group is P3m1, No. 156.

Entry 8:
A plane-wave DFT calculation with PBEsol was carried out for a geometry-optimized AgHg2PtW structure.

Geometry as POSCAR:
```
AgHg2PtW
1.0
4.892 0.000 0.000
0.000 4.892 0.000
0.000 0.000 4.946
Ag Hg Pt W
1 2 1 1
direct
0.000 0.000 0.000
0.000 0.500 0.000
0.500 0.000 0.000
0.500 0.500 0.500
0.000 0.000 0.500
```

## Properties
The formation energy from the elements is 1.870 eV/atom. The space group is P4/mmm, No. 123.

Entry 9:
A plane-wave DFT calculation with PBEsol was carried out for a geometry-optimized Mg4SeBr structure.

Geometry as POSCAR:
```
Mg4SeBr
1.0
0.000 4.106 4.106
4.106 0.000 4.106
4.106 4.106 0.000
Mg Se Br
4 1 1
direct
0.124 0.124 0.124
0.124 0.124 0.627
0.124 0.627 0.124
0.627 0.124 0.124
0.750 0.750 0.750
0.500 0.500 0.500
```

## Properties
The energy comes out at -13.4 eV/cell. The space group is F-43m, No. 216.

Entry 10:
A plane-wave DFT calculation with PBEsol was carried out for a geometry-optimized IrOsOF2 structure.

Geometry as POSCAR:
```
IrOsOF2
1.0
4.252 0.000 0.000
0.000 4.252 0.000
0.000 0.000 3.669
Ir Os O F
1 1 1 2
direct
0.000 0.000 0.000
0.500 0.500 0.500
0.500 0.500 0.000
0.000 0.500 0.500
0.500 0.000 0.500
```

## Properties
The energy comes out at -28.6 eV/cell. The space group is P4/mmm, No. 123.

Entry 11:
A plane-wave DFT calculation with PBEsol was carried out for a geometry-optimized TaAlCu3 structure.

Geometry as POSCAR:
```
TaAlCu3
1.0
4.224 0.000 0.000
0.000 4.224 0.000
0.000 0.000 4.224
Ta Al Cu
1 1 3
direct
0.000 0.000 0.000
0.500 0.500 0.500
0.000 0.500 0.500
0.500 0.000 0.500
0.500 0.500 0.000
```

## Properties
The formation energy from the elements is 0.908 eV/atom. The space group is Pm-3m, No. 221.

Entry 12:
A plane-wave DFT calculation with PBEsol was carried out for a geometry-optimized BaTaW2 structure.

Geometry as POSCAR:
```
BaTaW2
1.0
3.134 0.000 0.000
0.000 4.900 0.000
0.000 0.000 4.955
Ba Ta W
1 1 2
direct
0.000 0.000 0.000
0.500 0.500 0.000
0.000 0.500 0.500
0.500 0.000 0.500
```

## Properties
Its offset from the most stable computed form is 0.460 eV per atom. The formation energy from the elements is 1.437 eV/atom. The space group is Pmmm, No. 47.

Entry 13:
A plane-wave DFT calculation with PBEsol was carried out for a geometry-optimized SnHIN2 structure.

Geometry as POSCAR:
```
SnHIN2
1.0
3.991 0.000 0.000
0.000 3.991 0.000
0.000 0.000 6.458
Sn H I N
1 1 1 2
direct
0.000 0.000 0.000
0.500 0.500 0.500
0.000 0.000 0.500
0.000 0.500 0.000
0.500 0.000 0.000
```

## Properties
The energy comes out at -18.5 eV/cell. The space group is P4/mmm, No. 123.

Entry 14:
A plane-wave DFT calculation with PBEsol was carried out for a geometry-optimized Re3As structure.

Geometry as POSCAR:
```
Re3As
1.0
0.000 3.089 3.089
3.089 0.000 3.089
3.089 3.089 0.000
Re As
3 1
direct
0.000 0.000 0.000
0.250 0.250 0.250
0.750 0.750 0.750
0.500 0.500 0.500
```

## Properties
Its offset from the most stable computed form is 0.276 eV per atom. The formation energy from the elements is 0.455 eV/atom. The space group is Fm-3m, No. 225.

Entry 15:
A plane-wave DFT calculation with PBEsol was carried out for a geometry-optimized ZrCdCl2 structure.

Geometry as POSCAR:
```
ZrCdCl2
1.0
4.323 0.000 0.000
0.000 4.323 0.000
0.000 0.000 4.265
Zr Cd Cl
1 1 2
direct
0.000 0.000 0.000
0.500 0.500 0.000
0.000 0.500 0.500
0.500 0.000 0.500
```

## Properties
Its offset from the most stable computed form is 0.274 eV per atom. The space group is P4/mmm, No. 123.

Entry 16:
A plane-wave DFT calculation with PBEsol was carried out for a geometry-optimized LiLaTe2 structure.

Geometry as POSCAR:
```
LiLaTe2
1.0
4.500 0.000 0.000
0.000 6.191 0.000
0.000 0.000 4.502
Li La Te
1 1 2
direct
0.000 0.000 0.000
0.491 0.500 0.495
0.493 0.000 0.499
0.991 0.500 0.995
```

## Properties
The energy comes out at -19.4 eV/cell. The space group is Pm, No. 6.

Entry 17:
A plane-wave DFT calculation with PBEsol was carried out for a geometry-optimized Rh2O3 structure.

Geometry as POSCAR:
```
Rh2O3
1.0
5.134 0.000 0.000
0.000 5.418 0.000
0.000 0.000 14.658
Rh O
16 24
direct
0.001 0.180 0.076
0.001 0.250 0.321
0.001 0.250 0.821
0.001 0.320 0.576
0.499 0.680 0.076
0.499 0.750 0.321
0.499 0.750 0.821
0.499 0.820 0.576
0.501 0.180 0.424
0.501 0.250 0.179
0.501 0.250 0.679
0.501 0.320 0.924
0.999 0.680 0.424
0.999 0.750 0.179
0.999 0.750 0.679
0.999 0.820 0.924
0.142 0.111 0.203
0.142 0.389 0.703
0.151 0.659 0.552
0.151 0.841 0.052
0.200 0.534 0.875
0.200 0.966 0.375
0.300 0.034 0.875
0.300 0.466 0.375
0.349 0.159 0.552
0.349 0.341 0.052
0.358 0.611 0.203
0.358 0.889 0.703
0.642 0.111 0.297
0.642 0.389 0.797
0.651 0.659 0.948
0.651 0.841 0.448
0.700 0.534 0.625
0.700 0.966 0.125
0.800 0.034 0.625
0.800 0.466 0.125
0.849 0.159 0.948
0.849 0.341 0.448
0.858 0.611 0.297
0.858 0.889 0.797
```

## Properties
The energy comes out at -285.3 eV/cell. The space group is Pbca, No. 61.

Entry 18:
A plane-wave DFT calculation with PBEsol was carried out for a geometry-optimized Li2CdAg structure.

Geometry as POSCAR:
```
Li2CdAg
1.0
4.788 -1.494 0.000
4.788 1.494 0.000
-1.059 0.000 4.680
Li Cd Ag
2 1 1
direct
0.000 0.000 0.000
0.238 0.238 0.727
0.749 0.749 0.236
0.500 0.500 0.504
```

## Properties
The formation energy from the elements is -0.203 eV/atom. The space group is Cm, No. 8.

Entry 19:
A plane-wave DFT calculation with PBEsol was carried out for a geometry-optimized CrTcW2 structure.

Geometry as POSCAR:
```
CrTcW2
1.0
2.677 0.000 0.000
0.000 4.300 0.000
-0.916 0.000 4.968
Cr Tc W
1 1 2
direct
0.000 0.000 0.000
0.730 0.500 0.254
0.234 0.500 0.767
0.482 0.000 0.499
```

## Properties
Its offset from the most stable computed form is 0.056 eV per atom. The formation energy from the elements is 0.114 eV/atom. The space group is Pm, No. 6.

Entry 20:
A plane-wave DFT calculation with PBEsol was carried out for a geometry-optimized ZrCu2Te structure.

Geometry as POSCAR:
```
ZrCu2Te
1.0
2.036 1.176 5.014
-2.036 1.176 5.014
0.000 -2.351 5.014
Zr Cu Te
1 2 1
direct
0.000 0.000 0.000
0.244 0.244 0.244
0.756 0.756 0.756
0.500 0.500 0.500
```

## Properties
The energy comes out at -21.1 eV/cell. The space group is R-3m, No. 166.